Record 1
# BaTa2Ag | Alexandria via LeMat-Bulk | PBE | relaxed
# ΔE_f = 0.6995 eV per atom
# Offset from the most stable computed form = 0.201 eV per atom
data_BaTa2Ag
_chemical_formula_sum 'Ba3 Ta6 Ag3'
_space_group_name_H-M_alt 'R 3 m'
_space_group_IT_number 160
_space_group_name_Hall 'R 3 -2"'
_cell_length_a 3.3060
_cell_length_b 3.3060
_cell_length_c 30.5135
_cell_angle_alpha 90.00
_cell_angle_beta 90.00
_cell_angle_gamma 120.00
loop_
_atom_site_label
_atom_site_type_symbol
_atom_site_fract_x
_atom_site_fract_y
_atom_site_fract_z
Ba1 Ba 0.0000 0.0000 0.0000
Ta1 Ta 0.0000 0.0000 0.4980
Ta2 Ta 0.0000 0.0000 0.7677
Ag1 Ag 0.0000 0.0000 0.2372

***

Record 2
# BaTaAg | Alexandria via LeMat-Bulk | PBE | relaxed
# ΔE_f = 1.0843 eV per atom
# Offset from the most stable computed form = 0.754 eV per atom
data_BaTaAg
_chemical_formula_sum 'Ba4 Ta4 Ag4'
_space_group_name_H-M_alt 'C m c m'
_space_group_IT_number 63
_space_group_name_Hall '-C 2c 2'
_cell_length_a 4.740
_cell_length_b 11.237
_cell_length_c 6.234
_cell_angle_alpha 90.00
_cell_angle_beta 90.00
_cell_angle_gamma 90.00
loop_
_atom_site_label
_atom_site_type_symbol
_atom_site_fract_x
_atom_site_fract_y
_atom_site_fract_z
Ba1 Ba 0.000 0.000 0.000
Ta1 Ta 0.000 0.285 0.250
Ag1 Ag 0.000 0.313 0.750

***

Record 3
# BaTa2Ag | Alexandria via LeMat-Bulk | PBE | relaxed
# ΔE_f = 1.3501 eV per atom
# Offset from the most stable computed form = 0.851 eV per atom
data_BaTa2Ag
_chemical_formula_sum 'Ba4 Ta8 Ag4'
_space_group_name_H-M_alt 'F m -3 m'
_space_group_IT_number 225
_space_group_name_Hall '-F 4 2 3'
_cell_length_a 6.961
_cell_length_b 6.961
_cell_length_c 6.961
_cell_angle_alpha 90.00
_cell_angle_beta 90.00
_cell_angle_gamma 90.00
loop_
_atom_site_label
_atom_site_type_symbol
_atom_site_fract_x
_atom_site_fract_y
_atom_site_fract_z
Ba1 Ba 0.000 0.000 0.000
Ta1 Ta 0.250 0.250 0.250
Ag1 Ag 0.000 0.000 0.500

***

Record 4
# BaTaAg2 | Alexandria via LeMat-Bulk | PBE | relaxed
# ΔE_f = 0.8758 eV per atom
# Offset from the most stable computed form = 0.449 eV per atom
data_BaTaAg2
_chemical_formula_sum 'Ba2 Ta2 Ag4'
_space_group_name_H-M_alt 'I -4 m 2'
_space_group_IT_number 119
_space_group_name_Hall 'I -4 -2'
_cell_length_a 4.463
_cell_length_b 4.463
_cell_length_c 9.821
_cell_angle_alpha 90.00
_cell_angle_beta 90.00
_cell_angle_gamma 90.00
loop_
_atom_site_label
_atom_site_type_symbol
_atom_site_fract_x
_atom_site_fract_y
_atom_site_fract_z
Ba1 Ba 0.000 0.000 0.000
Ta1 Ta 0.000 0.500 0.750
Ag1 Ag 0.000 0.000 0.500
Ag2 Ag 0.000 0.500 0.250

***

Record 5
# BaTaAg | Alexandria via LeMat-Bulk | PBE | relaxed
# ΔE_f = 0.5419 eV per atom
# Offset from the most stable computed form = 0.212 eV per atom
data_BaTaAg
_chemical_formula_sum 'Ba4 Ta4 Ag4'
_space_group_name_H-M_alt 'C 1 2/m 1'
_space_group_IT_number 12
_cell_length_a 12.125
_cell_length_b 4.521
_cell_length_c 7.441
_cell_angle_alpha 90.00
_cell_angle_beta 113.22
_cell_angle_gamma 90.00
loop_
_space_group_symop_operation_xyz
'x,y,z'
'-x,-y,-z'
'-x,y,-z'
'x,-y,z'
'x+1/2,y+1/2,z'
'-x+1/2,-y+1/2,-z'
'-x+1/2,y+1/2,-z'
'x+1/2,-y+1/2,z'
loop_
_atom_site_label
_atom_site_type_symbol
_atom_site_fract_x
_atom_site_fract_y
_atom_site_fract_z
Ba1 Ba 0.089 0.000 0.279
Ta1 Ta 0.246 0.500 0.069
Ag1 Ag 0.109 0.500 0.667

***

Record 6
# BaTaAg | Alexandria via LeMat-Bulk | PBE | relaxed
# ΔE_f = 2.4547 eV per atom
# Offset from the most stable computed form = 2.125 eV per atom
data_BaTaAg
_chemical_formula_sum 'Ba2 Ta2 Ag2'
_space_group_name_H-M_alt 'P 63/m m c'
_space_group_IT_number 194
_space_group_name_Hall '-P 6c 2c'
_cell_length_a 5.5306
_cell_length_b 5.5306
_cell_length_c 13.1674
_cell_angle_alpha 90.00
_cell_angle_beta 90.00
_cell_angle_gamma 120.00
loop_
_atom_site_label
_atom_site_type_symbol
_atom_site_fract_x
_atom_site_fract_y
_atom_site_fract_z
Ba1 Ba 0.0000 0.0000 0.2500
Ta1 Ta 0.0000 0.0000 0.0000
Ag1 Ag 0.3333 0.6667 0.2500